Record 1
{"formula": "DyYScCd", "functional": "GGA-PBE", "state": "relaxed", "lattice": [[7.5564, 0.0000, 0.0000], [0.0000, 7.5564, 0.0000], [0.0000, 0.0000, 7.5564]], "species": ["Dy", "Dy", "Dy", "Dy", "Y", "Y", "Y", "Y", "Sc", "Sc", "Sc", "Sc", "Cd", "Cd", "Cd", "Cd"], "frac_coords": [[0.0000, 0.0000, 0.0000], [0.0000, 0.5000, 0.5000], [0.5000, 0.0000, 0.5000], [0.5000, 0.5000, 0.0000], [0.0000, 0.0000, 0.5000], [0.0000, 0.5000, 0.0000], [0.5000, 0.0000, 0.0000], [0.5000, 0.5000, 0.5000], [0.2500, 0.2500, 0.2500], [0.2500, 0.7500, 0.7500], [0.7500, 0.2500, 0.7500], [0.7500, 0.7500, 0.2500], [0.2500, 0.2500, 0.7500], [0.2500, 0.7500, 0.2500], [0.7500, 0.2500, 0.2500], [0.7500, 0.7500, 0.7500]], "polymorph_energy_mev_per_atom": 81.5, "delta_e_f_ev_per_atom": -0.051, "volume_a3_per_cell": 431}

---

Record 2
{"formula": "GaPd2CBr", "functional": "GGA-PBE", "state": "relaxed", "lattice": [[4.7383, 0.0000, 0.0000], [0.0000, 4.7383, 0.0000], [0.0000, 0.0000, 5.2205]], "species": ["Ga", "Pd", "Pd", "C", "Br"], "frac_coords": [[0.0000, 0.0000, 0.0000], [0.0000, 0.5000, 0.0000], [0.5000, 0.0000, 0.0000], [0.5000, 0.5000, 0.5000], [0.0000, 0.0000, 0.5000]], "formation_energy_uncorrected_ev_per_atom": 1.6891, "volume_a3_per_cell": 117}

---

Record 3
{"formula": "NaAcSe2", "functional": "GGA-PBE", "state": "relaxed", "lattice": [[4.4658, 0.0000, 0.0000], [-2.2329, 3.8675, 0.0000], [0.0000, 0.0000, 22.4033]], "species": ["Na", "Na", "Na", "Ac", "Ac", "Ac", "Se", "Se", "Se", "Se", "Se", "Se"], "frac_coords": [[0.0000, 0.0000, 0.0000], [0.3333, 0.6667, 0.6667], [0.6667, 0.3333, 0.3333], [0.0000, 0.0000, 0.1738], [0.3333, 0.6667, 0.8405], [0.6667, 0.3333, 0.5071], [0.0000, 0.0000, 0.5860], [0.0000, 0.0000, 0.7625], [0.3333, 0.6667, 0.2527], [0.3333, 0.6667, 0.4292], [0.6667, 0.3333, 0.0958], [0.6667, 0.3333, 0.9194]], "formation_energy_uncorrected_ev_per_atom": -1.6732, "volume_a3_per_cell": 387}

---

Record 4
{"formula": "SbTe2SeS", "functional": "GGA-PBE", "state": "relaxed", "lattice": [[5.3920, 0.0000, 0.0000], [0.0000, 5.3920, 0.0000], [0.0000, 0.0000, 5.5362]], "species": ["Sb", "Te", "Te", "Se", "S"], "frac_coords": [[0.0000, 0.0000, 0.0000], [0.0000, 0.5000, 0.5000], [0.5000, 0.0000, 0.5000], [0.0000, 0.0000, 0.5000], [0.5000, 0.5000, 0.0000]], "formation_energy_uncorrected_ev_per_atom": 0.8770, "polymorph_energy_mev_per_atom": 225.9, "volume_a3_per_cell": 161}

---

Record 5
{"formula": "Tc2TeCl", "functional": "GGA-PBE", "state": "relaxed", "lattice": [[5.5023, 0.0000, 0.0000], [0.0000, 5.5023, 0.0000], [0.0000, 0.0000, 11.5560]], "species": ["Tc", "Tc", "Tc", "Tc", "Tc", "Tc", "Tc", "Tc", "Te", "Te", "Te", "Te", "Cl", "Cl", "Cl", "Cl"], "frac_coords": [[0.1951, 0.2500, 0.1250], [0.2500, 0.6951, 0.3750], [0.2500, 0.8049, 0.8750], [0.3049, 0.2500, 0.6250], [0.6951, 0.7500, 0.6250], [0.7500, 0.1951, 0.8750], [0.7500, 0.3049, 0.3750], [0.8049, 0.7500, 0.1250], [0.0000, 0.0000, 0.5000], [0.0000, 0.5000, 0.7500], [0.5000, 0.0000, 0.2500], [0.5000, 0.5000, 0.0000], [0.0000, 0.0000, 0.0000], [0.0000, 0.5000, 0.2500], [0.5000, 0.0000, 0.7500], [0.5000, 0.5000, 0.5000]], "formation_energy_uncorrected_ev_per_atom": 0.7113, "polymorph_energy_mev_per_atom": 742.9, "volume_a3_per_cell": 350}

---

Record 6
{"formula": "Li2Tb2NdIn2", "functional": "GGA-PBE", "state": "relaxed", "lattice": [[2.4576, 1.4189, 8.8663], [-2.4576, 1.4189, 8.8663], [0.0000, -2.8378, 8.8663]], "species": ["Li", "Li", "Tb", "Tb", "Nd", "In", "In"], "frac_coords": [[0.0987, 0.0987, 0.0987], [0.9013, 0.9013, 0.9013], [0.3716, 0.3716, 0.3716], [0.6284, 0.6284, 0.6284], [0.5000, 0.5000, 0.5000], [0.2400, 0.2400, 0.2400], [0.7600, 0.7600, 0.7600]], "delta_e_f_ev_per_atom": -0.237, "volume_a3_per_cell": 186}

---

Record 7
{"formula": "KCd3Pt", "functional": "GGA-PBE", "state": "relaxed", "lattice": [[5.9400, 0.0000, 0.0000], [0.0000, 8.2812, 0.0000], [-2.3885, 0.0000, 5.4735]], "species": ["K", "K", "Cd", "Cd", "Cd", "Cd", "Cd", "Cd", "Pt", "Pt"], "frac_coords": [[0.2355, 0.2500, 0.2636], [0.7645, 0.7500, 0.7364], [0.1439, 0.7500, 0.3542], [0.2554, 0.5007, 0.7540], [0.2554, 0.9993, 0.7540], [0.7446, 0.0007, 0.2460], [0.7446, 0.4993, 0.2460], [0.8561, 0.2500, 0.6458], [0.4170, 0.7500, 0.0835], [0.5830, 0.2500, 0.9165]], "polymorph_energy_mev_per_atom": 117.1, "delta_e_f_ev_per_atom": -0.138, "volume_a3_per_cell": 269}

---

Record 8
{"formula": "TbNdYLu", "functional": "GGA-PBE", "state": "relaxed", "lattice": [[8.0472, 0.0000, 0.0000], [0.0000, 8.0472, 0.0000], [0.0000, 0.0000, 8.0472]], "species": ["Tb", "Tb", "Tb", "Tb", "Nd", "Nd", "Nd", "Nd", "Y", "Y", "Y", "Y", "Lu", "Lu", "Lu", "Lu"], "frac_coords": [[0.0000, 0.0000, 0.0000], [0.0000, 0.5000, 0.5000], [0.5000, 0.0000, 0.5000], [0.5000, 0.5000, 0.0000], [0.2500, 0.2500, 0.7500], [0.2500, 0.7500, 0.2500], [0.7500, 0.2500, 0.2500], [0.7500, 0.7500, 0.7500], [0.2500, 0.2500, 0.2500], [0.2500, 0.7500, 0.7500], [0.7500, 0.2500, 0.7500], [0.7500, 0.7500, 0.2500], [0.0000, 0.0000, 0.5000], [0.0000, 0.5000, 0.0000], [0.5000, 0.0000, 0.0000], [0.5000, 0.5000, 0.5000]], "delta_e_f_ev_per_atom": 0.124, "volume_a3_per_cell": 521}

---

Record 9
{"formula": "CaVSeN2", "functional": "GGA-PBE", "state": "relaxed", "lattice": [[3.8817, 0.0000, 0.0000], [0.0000, 3.8817, 0.0000], [0.0000, 0.0000, 5.1773]], "species": ["Ca", "V", "Se", "N", "N"], "frac_coords": [[0.0000, 0.0000, 0.0000], [0.5000, 0.5000, 0.5000], [0.5000, 0.5000, 0.0000], [0.0000, 0.5000, 0.5000], [0.5000, 0.0000, 0.5000]], "formation_energy_uncorrected_ev_per_atom": -0.4607, "polymorph_energy_mev_per_atom": 0.0, "volume_a3_per_cell": 78}

---

Record 10
{"formula": "Tb6HoMg2", "functional": "GGA-PBE", "state": "relaxed", "lattice": [[6.4642, -5.7931, 0.0000], [6.4642, 5.7931, 0.0000], [-5.0714, 0.0000, 7.2469]], "species": ["Tb", "Tb", "Tb", "Tb", "Tb", "Tb", "Tb", "Tb", "Tb", "Tb", "Tb", "Tb", "Ho", "Ho", "Mg", "Mg", "Mg", "Mg"], "frac_coords": [[0.0846, 0.8312, 0.5312], [0.1166, 0.4274, 0.3612], [0.1688, 0.9154, 0.9688], [0.3020, 0.4794, 0.8105], [0.4274, 0.1166, 0.8612], [0.4794, 0.3020, 0.3105], [0.5206, 0.6980, 0.6895], [0.5726, 0.8834, 0.1388], [0.6980, 0.5206, 0.1895], [0.8312, 0.0846, 0.0312], [0.8834, 0.5726, 0.6388], [0.9154, 0.1688, 0.4688], [0.3258, 0.6742, 0.2500], [0.6742, 0.3258, 0.7500], [0.0826, 0.2915, 0.9299], [0.2915, 0.0826, 0.4299], [0.7085, 0.9174, 0.5701], [0.9174, 0.7085, 0.0701]], "delta_e_f_ev_per_atom": 0.061, "volume_a3_per_cell": 543}

---

Record 11
{"formula": "ErAlCu6", "functional": "GGA-PBE", "state": "relaxed", "lattice": [[4.8559, 0.0000, 0.0000], [0.0000, 4.8559, 0.0000], [0.0000, 0.0000, 4.8559]], "species": ["Er", "Al", "Cu", "Cu", "Cu", "Cu", "Cu", "Cu"], "frac_coords": [[0.0000, 0.0000, 0.0000], [0.5000, 0.5000, 0.5000], [0.0000, 0.2584, 0.5000], [0.0000, 0.7416, 0.5000], [0.2584, 0.5000, 0.0000], [0.5000, 0.0000, 0.2584], [0.5000, 0.0000, 0.7416], [0.7416, 0.5000, 0.0000]], "delta_e_f_ev_per_atom": -0.072, "volume_a3_per_cell": 115}

---

Record 12
{"formula": "LaSmZnPd", "functional": "GGA-PBE", "state": "relaxed", "lattice": [[4.6405, 0.0000, 0.0000], [0.0000, 3.9915, 0.0000], [0.0000, 0.0000, 11.0394]], "species": ["La", "La", "Sm", "Sm", "Zn", "Zn", "Pd", "Pd"], "frac_coords": [[0.0000, 0.0000, 0.0000], [0.0000, 0.5000, 0.5000], [0.5000, 0.0000, 0.2819], [0.5000, 0.5000, 0.7819], [0.5000, 0.0000, 0.5701], [0.5000, 0.5000, 0.0701], [0.0000, 0.0000, 0.7138], [0.0000, 0.5000, 0.2138]], "polymorph_energy_mev_per_atom": 0.0, "delta_e_f_ev_per_atom": -0.541, "volume_a3_per_cell": 204}

---

How do the records compare in calculated total energy? In the order shown, they have -74.06, -15.86, -57.27, -13.63, -91.50, -24.99, -21.15, -79.55, -33.56, -70.00, -33.46, -36.55 eV/cell.